# 1
GaNiIrCl2 PBE relaxed; DOS(E_F) = 1.00 states/eV per atom; M_tot = 0.46 μB/atom; formation energy without anion corrections = 982 meV per atom; DFT total energy = -3.291 eV/atom; space-group type = No. 123
1.0
4.700 0.000 0.000
0.000 4.700 0.000
0.000 0.000 5.031
Ga Ni Ir Cl
1 1 1 2
direct
0.000 0.000 0.000
0.500 0.500 0.500
0.000 0.000 0.500
0.000 0.500 0.000
0.500 0.000 0.000

=====

# 2
GaP2IrCl PBE relaxed; DOS(E_F) = 0.75 states/eV per atom; M_tot = 0.00 μB/atom; offset from the most stable computed form = 0 meV per atom; formation energy without anion corrections = 312 meV per atom; DFT total energy = -4.599 eV/atom; space-group type = No. 123
1.0
4.499 0.000 0.000
0.000 4.499 0.000
0.000 0.000 5.895
Ga P Ir Cl
1 2 1 1
direct
0.000 0.000 0.000
0.000 0.500 0.500
0.500 0.000 0.500
0.500 0.500 0.500
0.500 0.500 0.000

=====

# 3
GaP2IrCl PBE relaxed; DOS(E_F) = 0.80 states/eV per atom; M_tot = 0.19 μB/atom; offset from the most stable computed form = 919 meV per atom; formation energy without anion corrections = 1231 meV per atom; DFT total energy = -3.680 eV/atom; space-group type = No. 123
1.0
4.646 0.000 0.000
0.000 4.646 0.000
0.000 0.000 4.535
Ga P Ir Cl
1 2 1 1
direct
0.000 0.000 0.000
0.000 0.500 0.000
0.500 0.000 0.000
0.500 0.500 0.500
0.000 0.000 0.500

=====

# 4
Pr8GaIr3Cl4 PBE relaxed; DOS(E_F) = 0.84 states/eV per atom; M_tot = 0.00 μB/atom; formation energy without anion corrections = -1107 meV per atom; DFT total energy = -5.809 eV/atom; space-group type = No. 166
1.0
4.216 2.434 7.498
-4.216 2.434 7.498
0.000 -4.868 7.498
Pr Ga Ir Cl
8 1 3 4
direct
0.223 0.743 0.743
0.236 0.236 0.236
0.257 0.257 0.777
0.257 0.777 0.257
0.743 0.223 0.743
0.743 0.743 0.223
0.764 0.764 0.764
0.777 0.257 0.257
0.500 0.500 0.500
0.000 0.000 0.500
0.000 0.500 0.000
0.500 0.000 0.000
0.000 0.000 0.000
0.000 0.500 0.500
0.500 0.000 0.500
0.500 0.500 0.000

=====

# 5
GaIrSCl2 PBE relaxed; DOS(E_F) = 1.23 states/eV per atom; M_tot = 0.46 μB/atom; offset from the most stable computed form = 819 meV per atom; formation energy without anion corrections = 749 meV per atom; DFT total energy = -3.192 eV/atom; space-group type = No. 123
1.0
4.620 0.000 0.000
0.000 4.620 0.000
0.000 0.000 5.041
Ga Ir S Cl
1 1 1 2
direct
0.000 0.000 0.000
0.500 0.500 0.500
0.000 0.000 0.500
0.000 0.500 0.000
0.500 0.000 0.000

=====

# 6
GaIrSCl2 PBE relaxed; DOS(E_F) = 0.66 states/eV per atom; M_tot = 0.00 μB/atom; offset from the most stable computed form = 0 meV per atom; formation energy without anion corrections = -69 meV per atom; DFT total energy = -4.011 eV/atom; space-group type = No. 123
1.0
5.145 0.000 0.000
0.000 5.145 0.000
0.000 0.000 4.407
Ga Ir S Cl
1 1 1 2
direct
0.000 0.000 0.000
0.500 0.500 0.500
0.500 0.500 0.000
0.000 0.500 0.500
0.500 0.000 0.500

=====

# 7
TlGaIrCl2 PBE relaxed; DOS(E_F) = 0.46 states/eV per atom; M_tot = 0.59 μB/atom; formation energy without anion corrections = 1014 meV per atom; DFT total energy = -2.575 eV/atom; space-group type = No. 123
1.0
5.493 0.000 0.000
0.000 5.493 0.000
0.000 0.000 5.503
Tl Ga Ir Cl
1 1 1 2
direct
0.000 0.000 0.000
0.000 0.000 0.500
0.500 0.500 0.500
0.000 0.500 0.000
0.500 0.000 0.000

=====

# 8
KGa3Cl9 PBE relaxed; DOS(E_F) = 0.01 states/eV per atom; M_tot = 0.08 μB/atom; formation energy without anion corrections = -1167 meV per atom; DFT total energy = -3.228 eV/atom; space-group type = No. 9
1.0
9.216 -4.880 0.000
9.216 4.880 0.000
-7.946 0.000 10.346
K Ga Cl
2 6 18
direct
0.035 0.965 0.500
0.965 0.035 0.000
0.145 0.471 0.686
0.325 0.661 0.267
0.471 0.145 0.186
0.567 0.791 0.870
0.661 0.325 0.767
0.791 0.567 0.370
0.091 0.865 0.221
0.154 0.257 0.697
0.182 0.660 0.886
0.257 0.154 0.197
0.309 0.830 0.768
0.336 0.421 0.115
0.383 0.667 0.455
0.421 0.336 0.615
0.516 0.725 0.278
0.645 0.815 0.072
0.645 0.929 0.853
0.660 0.182 0.386
0.667 0.383 0.955
0.725 0.516 0.778
0.815 0.645 0.572
0.830 0.309 0.268
0.865 0.091 0.721
0.929 0.645 0.353

=====

# 9
K5GaCl8 PBE relaxed; DOS(E_F) = 0.00 states/eV per atom; M_tot = 0.03 μB/atom; formation energy without anion corrections = -1676 meV per atom; DFT total energy = -3.340 eV/atom; space-group type = No. 82
1.0
-5.452 5.452 4.768
5.452 -5.452 4.768
5.452 5.452 -4.768
K Ga Cl
5 1 8
direct
0.000 0.000 0.000
0.165 0.683 0.076
0.317 0.394 0.483
0.606 0.089 0.924
0.911 0.835 0.517
0.750 0.250 0.500
0.044 0.359 0.159
0.044 0.359 0.660
0.115 0.956 0.315
0.201 0.885 0.841
0.616 0.956 0.315
0.641 0.301 0.685
0.641 0.799 0.685
0.699 0.384 0.340

=====

# 10
KGaCl2 PBE relaxed; DOS(E_F) = 0.00 states/eV per atom; M_tot = 0.00 μB/atom; offset from the most stable computed form = 271 meV per atom; formation energy without anion corrections = -1016 meV per atom; DFT total energy = -2.970 eV/atom; space-group type = No. 166
1.0
2.336 1.349 8.758
-2.336 1.349 8.758
0.000 -2.697 8.758
K Ga Cl
1 1 2
direct
0.000 0.000 0.000
0.500 0.500 0.500
0.107 0.107 0.107
0.893 0.893 0.893

=====

# 11
KGaCl2 PBE relaxed; DOS(E_F) = 0.00 states/eV per atom; M_tot = 0.00 μB/atom; offset from the most stable computed form = 0 meV per atom; formation energy without anion corrections = -1287 meV per atom; DFT total energy = -3.241 eV/atom; space-group type = No. 8
1.0
5.438 -2.147 0.000
5.438 2.147 0.000
-4.986 0.000 5.507
K Ga Cl
1 1 2
direct
0.000 0.000 0.000
0.479 0.479 0.476
0.296 0.296 0.011
0.779 0.779 0.427

=====

# 12
K2GaCl6 PBE relaxed; DOS(E_F) = 1.29 states/eV per atom; M_tot = 0.00 μB/atom; formation energy without anion corrections = -1287 meV per atom; DFT total energy = -3.098 eV/atom; space-group type = No. 12
1.0
6.072 -3.522 0.000
6.072 3.522 0.000
-4.044 0.000 5.767
K Ga Cl
2 1 6
direct
0.250 0.250 0.248
0.750 0.750 0.752
0.000 0.000 0.500
0.237 0.761 0.261
0.239 0.239 0.736
0.239 0.763 0.739
0.761 0.237 0.261
0.761 0.761 0.264
0.763 0.239 0.739

=====

# 13
KGaCl3 PBE relaxed; DOS(E_F) = 0.00 states/eV per atom; M_tot = 0.00 μB/atom; offset from the most stable computed form = 0 meV per atom; formation energy without anion corrections = -1470 meV per atom; DFT total energy = -3.403 eV/atom; space-group type = No. 14
1.0
7.778 0.000 0.000
0.000 7.571 0.000
-5.851 0.000 12.176
K Ga Cl
4 4 12
direct
0.214 0.088 0.192
0.214 0.412 0.692
0.786 0.588 0.308
0.786 0.912 0.808
0.373 0.594 0.437
0.373 0.906 0.937
0.627 0.094 0.063
0.627 0.406 0.563
0.157 0.039 0.782
0.157 0.461 0.282
0.187 0.713 0.510
0.187 0.787 0.010
0.491 0.683 0.872
0.491 0.817 0.372
0.509 0.183 0.628
0.509 0.317 0.128
0.813 0.213 0.990
0.813 0.287 0.490
0.843 0.539 0.718
0.843 0.961 0.218

=====

# 14
KGaCl2 PBE relaxed; DOS(E_F) = 0.00 states/eV per atom; M_tot = 0.00 μB/atom; offset from the most stable computed form = 47 meV per atom; formation energy without anion corrections = -1240 meV per atom; DFT total energy = -3.195 eV/atom; space-group type = No. 122
1.0
-3.382 3.382 7.155
3.382 -3.382 7.155
3.382 3.382 -7.155
K Ga Cl
2 2 4
direct
0.000 0.000 0.000
0.750 0.250 0.500
0.250 0.750 0.500
0.500 0.500 0.000
0.146 0.625 0.021
0.375 0.396 0.521
0.604 0.125 0.979
0.875 0.854 0.479

=====

# 15
K2Ga2Cl PBE relaxed; DOS(E_F) = 0.14 states/eV per atom; M_tot = 0.00 μB/atom; formation energy without anion corrections = -749 meV per atom; DFT total energy = -2.768 eV/atom; space-group type = No. 139
1.0
-1.919 1.919 9.862
1.919 -1.919 9.862
1.919 1.919 -9.862
K Ga Cl
2 2 1
direct
0.094 0.094 0.000
0.906 0.906 0.000
0.250 0.750 0.500
0.750 0.250 0.500
0.500 0.500 0.000

=====

# 16
KGaCl2 PBE relaxed; DOS(E_F) = 0.00 states/eV per atom; M_tot = 0.00 μB/atom; offset from the most stable computed form = 48 meV per atom; formation energy without anion corrections = -1239 meV per atom; DFT total energy = -3.193 eV/atom; space-group type = No. 123
1.0
3.749 0.000 0.000
0.000 3.749 0.000
0.000 0.000 7.499
K Ga Cl
1 1 2
direct
0.000 0.000 0.000
0.000 0.000 0.500
0.500 0.500 0.255
0.500 0.500 0.745

=====

# 17
K2GaCl4 PBE relaxed; DOS(E_F) = 0.28 states/eV per atom; M_tot = 0.00 μB/atom; offset from the most stable computed form = 0 meV per atom; formation energy without anion corrections = -1484 meV per atom; DFT total energy = -3.285 eV/atom; space-group type = No. 139
1.0
-2.528 2.528 8.063
2.528 -2.528 8.063
2.528 2.528 -8.063
K Ga Cl
2 1 4
direct
0.143 0.143 0.000
0.857 0.857 0.000
0.500 0.500 0.000
0.000 0.500 0.500
0.336 0.336 0.000
0.500 0.000 0.500
0.664 0.664 0.000

=====

# 18
KGaCl4 PBE relaxed; DOS(E_F) = 0.00 states/eV per atom; M_tot = 0.00 μB/atom; formation energy without anion corrections = -1271 meV per atom; DFT total energy = -3.189 eV/atom; space-group type = No. 12
1.0
4.065 -3.591 0.000
4.065 3.591 0.000
-2.431 0.000 6.657
K Ga Cl
1 1 4
direct
0.000 0.000 0.000
0.500 0.500 0.500
0.125 0.573 0.282
0.427 0.875 0.718
0.573 0.125 0.282
0.875 0.427 0.718

=====

# 19
K2GaCl4 PBE relaxed; DOS(E_F) = 0.53 states/eV per atom; M_tot = 0.05 μB/atom; offset from the most stable computed form = 95 meV per atom; formation energy without anion corrections = -1389 meV per atom; DFT total energy = -3.190 eV/atom; space-group type = No. 121
1.0
-3.693 3.693 4.102
3.693 -3.693 4.102
3.693 3.693 -4.102
K Ga Cl
2 1 4
direct
0.250 0.750 0.500
0.750 0.250 0.500
0.000 0.000 0.000
0.238 0.759 0.000
0.241 0.241 0.479
0.759 0.238 0.000
0.762 0.762 0.521

=====

# 20
K3GaCl PBE relaxed; DOS(E_F) = 0.85 states/eV per atom; M_tot = 0.00 μB/atom; offset from the most stable computed form = 0 meV per atom; formation energy without anion corrections = -566 meV per atom; DFT total energy = -2.199 eV/atom; space-group type = No. 221
1.0
6.045 0.000 0.000
0.000 6.045 0.000
0.000 0.000 6.045
K Ga Cl
3 1 1
direct
0.000 0.000 0.500
0.000 0.500 0.000
0.500 0.000 0.000
0.500 0.500 0.500
0.000 0.000 0.000